(1)
YMg11Al PBE relaxed; Fermi-level density of states = 5.1 states/eV/f.u.; M_tot = 0.00 μB/atom; space group = C2/m, No. 12; formation enthalpy at 0 K = -0.45 eV per formula unit; mass density = 2.12 g cm⁻³; total energy = -2.169 eV per atom
1.0
5.3947 -0.0145 2.2475
2.6219 7.1292 1.0923
-0.0711 -0.0072 7.7689
Mg Y Al
11 1 1
direct
0.7085 0.7863 0.7912
0.4997 0.7863 0.2088
0.5003 0.2137 0.7912
0.6476 0.3544 0.3467
0.0000 0.0000 0.5000
0.2915 0.2137 0.2088
0.3524 0.6456 0.6533
0.5000 0.0000 0.5000
0.9943 0.3544 0.6533
0.0000 0.5000 0.0000
0.0057 0.6456 0.3467
0.0000 0.0000 0.0000
0.5000 0.5000 0.0000

---

(2)
YMgAl PBE relaxed; Fermi-level density of states = 0.4 states/eV/f.u.; offset from the most stable computed form = 200.7 meV per atom; M_tot = 0.00 μB/atom; space group = Cmcm, No. 63; formation enthalpy at 0 K = -0.41 eV per formula unit; mass density = 3.50 g cm⁻³; total energy = -4.069 eV per atom
1.0
-3.3499 -7.3138 -3.1593
3.9387 -3.2762 3.4079
-3.3209 -0.0967 3.7452
Y Al Mg
4 4 4
direct
0.3335 0.2500 0.0000
0.8335 0.2500 0.5000
0.1665 0.7500 0.5000
0.6665 0.7500 0.0000
0.0000 0.0000 0.0000
0.0000 0.5000 0.0000
0.5000 0.0000 0.5000
0.5000 0.5000 0.5000
0.8326 0.7500 0.5000
0.3326 0.7500 0.0000
0.6674 0.2500 0.0000
0.1674 0.2500 0.5000

---

(3)
Y2Mg3Al2 PBE relaxed; Fermi-level density of states = 4.2 states/eV/f.u.; M_tot = 0.00 μB/atom; space group = Cmmm, No. 65; formation enthalpy at 0 K = -1.73 eV per formula unit; mass density = 3.03 g cm⁻³; total energy = -3.847 eV per atom
1.0
-2.9527 -1.3879 -1.2059
0.9218 -3.8308 2.1516
-5.6755 5.5089 7.5565
Al Mg Y
2 3 2
direct
0.5000 0.7162 0.4325
0.5000 0.2838 0.5675
0.0000 0.0000 0.0000
0.5000 0.5744 0.1488
0.5000 0.4256 0.8512
0.0000 0.8380 0.6759
0.0000 0.1620 0.3241

---

(4)
YMg16Al12 PBE relaxed; Fermi-level density of states = 7.5 states/eV/f.u.; offset from the most stable computed form = 3.1 meV per atom; M_tot = 0.00 μB/atom; space group = R3m, No. 160; formation enthalpy at 0 K = -2.08 eV per formula unit; mass density = 2.26 g cm⁻³; total energy = -2.723 eV per atom
1.0
-5.4683 6.2264 3.9983
-5.0880 -6.3838 -4.2444
5.3865 -3.9668 6.3172
Mg Al Y
16 12 1
direct
0.0012 0.0012 0.0012
0.6057 0.3119 0.9996
0.0026 0.3436 0.0026
0.3436 0.0026 0.0026
0.9996 0.6057 0.3119
0.7213 0.3902 0.3902
0.9996 0.3119 0.6057
0.3119 0.6057 0.9996
0.2835 0.6851 0.6851
0.3902 0.7213 0.3902
0.6057 0.9996 0.3119
0.3119 0.9996 0.6057
0.3902 0.3902 0.7213
0.6851 0.2835 0.6851
0.6851 0.6851 0.2835
0.0026 0.0026 0.3436
0.3722 0.1886 0.3722
0.8141 0.9990 0.6350
0.6350 0.9990 0.8141
0.1886 0.3722 0.3722
0.8141 0.6350 0.9990
0.1888 0.1888 0.8268
0.1888 0.8268 0.1888
0.9990 0.6350 0.8141
0.3722 0.3722 0.1886
0.6350 0.8141 0.9990
0.9990 0.8141 0.6350
0.8268 0.1888 0.1888
0.6268 0.6268 0.6268

---

Q: Look up the formation enthalpy at 0 K of the first one.
A: -0.45 eV per formula unit

---

Q: The highest total energy belongs to which entry?
A: YMg11Al

---

Q: formation enthalpy at 0 K of number 3 (Y2Mg3Al2)?
A: -1.73 eV per formula unit